P | Density functional theory data (PBEsol) for an optimized crystal structure of Ca2B2O5.

Computed properties:
Calculated volume: 430 Å³/cell
D(E_F): 0.00 states/eV per cell

Unit cell a=3.5340 b=6.3358 c=19.1900 alpha=90.00 beta=90.00 gamma=90.00
With the nearest neighbours (Å) after each atom.
Space group P2_12_12_1 (No. 19)
Asymmetric unit:
Ca1 0.2058 0.0602 0.0620 x4  6 O 2.30-2.49
Ca2 0.2065 0.1984 0.7892 x4  6 O 2.30-2.40
B1 0.1473 0.4991 0.0825 x4  3 O 1.36-1.42
B2 0.1831 0.2856 0.3439 x4  3 O 1.37-1.43
O1 0.0022 0.7036 0.0958 x4  2 B 1.42-1.43
O2 0.1906 0.5123 0.8527 x4  1 B 1.37
O3 0.2041 0.4408 0.0150 x4  1 B 1.36
O4 0.2094 0.3596 0.1354 x4  1 B 1.36
O5 0.2112 0.1750 0.2831 x4  1 B 1.37

Q | Density functional theory data (PBEsol) for an optimized crystal structure of Ca2B2O5.

Computed properties:
Calculated volume: 424 Å³/cell
D(E_F): 0.00 states/eV per cell

Unit cell a=7.1538 b=5.1629 c=11.4917 alpha=90.00 beta=93.40 gamma=90.00
With the nearest neighbours (Å) after each atom.
Space group P2_1/c (No. 14)
Asymmetric unit:
Ca1 0.1183 0.0621 0.3671 x4  6 O 2.29-2.41
Ca2 0.3752 0.6001 0.1659 x4  6 O 2.27-2.43
B1 0.1625 0.0610 0.0887 x4  3 O 1.37-1.44
B2 0.3456 0.5762 0.4042 x4  3 O 1.36-1.41
O1 0.0908 0.5834 0.6751 x4  1 B 1.37
O2 0.1437 0.1786 0.5708 x4  1 B 1.37
O3 0.2716 0.5961 0.5151 x4  2 B 1.41-1.44
O4 0.3549 0.1486 0.8435 x4  1 B 1.36
O5 0.3933 0.6938 0.8560 x4  1 B 1.36

Ranking the structures above by stability puts P first and Q last.